(1)
NdAlZn3 | GGA-PBE | optimized geometry

Unit cell a=6.1016 b=6.1182 c=6.0161 alpha=90.00 beta=120.22 gamma=90.00
Element x y z (fractional)
Nd (0.0000, 0.0000, 0.0000)
Nd (0.5000, 0.5000, 0.0000)
Al (0.1176, 0.5000, 0.2355)
Al (0.6176, 0.0000, 0.2355)
Zn (0.0003, 0.2500, 0.5020)
Zn (0.0003, 0.7500, 0.5020)
Zn (0.3779, 0.0000, 0.7587)
Zn (0.5003, 0.2500, 0.5020)
Zn (0.5003, 0.7500, 0.5020)
Zn (0.8779, 0.5000, 0.7587)

## Properties
The calculation puts the energy relative to the elements at -0.36 eV per atom. For the energy above the most stable polymorph in this dataset, the calculation gives 0.000 eV/atom. As for the symmetry: No. 8.

---

(2)
CePu2F8 | GGA-PBE | optimized geometry

Unit cell a=6.9631 b=6.9631 c=6.9631 alpha=147.27 beta=123.85 gamma=66.53
Element x y z (fractional)
Ce (0.0000, 0.0000, 0.0000)
Pu (0.3218, 0.3218, 0.0000)
Pu (0.6782, 0.6782, 0.0000)
F (0.1141, 0.8401, 0.2740)
F (0.1408, 0.6408, 0.5000)
F (0.3050, 0.5000, 0.8050)
F (0.4340, 0.1599, 0.2740)
F (0.5660, 0.8401, 0.7260)
F (0.6950, 0.5000, 0.1950)
F (0.8592, 0.3592, 0.5000)
F (0.8859, 0.1599, 0.7260)

## Properties
As for the raw formation energy: -3.59 eV per atom. For the energy above the most stable polymorph in this dataset, the calculation gives 0.047 eV/atom. As for the symmetry: No. 71.

---

(3)
LaTaTl2 | GGA-PBE | optimized geometry

Unit cell a=3.2304 b=3.2304 c=10.0785 alpha=90.00 beta=90.00 gamma=90.00
Element x y z (fractional)
La (0.0000, 0.0000, 0.0000)
Ta (0.5000, 0.5000, 0.2362)
Tl (0.0000, 0.0000, 0.4521)
Tl (0.5000, 0.5000, 0.7107)

## Properties
The calculation puts the energy relative to the elements at 0.33 eV per atom. As for the symmetry: No. 99.

---

(4)
La2PaSn | GGA-PBE | optimized geometry

Unit cell a=4.1038 b=4.1038 c=7.0511 alpha=90.00 beta=90.00 gamma=90.00
Element x y z (fractional)
La (0.0000, 0.0000, 0.2365)
La (0.0000, 0.0000, 0.7635)
Pa (0.5000, 0.5000, 0.5000)
Sn (0.5000, 0.5000, 0.0000)

## Properties
The calculation puts the energy relative to the elements at -0.12 eV per atom. For the energy above the most stable polymorph in this dataset, the calculation gives 0.074 eV/atom. As for the symmetry: No. 123.

---

(5)
Sm8CoSn2 | GGA-PBE | optimized geometry

Unit cell a=9.9490 b=9.9490 c=6.9948 alpha=101.47 beta=101.47 gamma=28.54
Element x y z (fractional)
Sm (0.0114, 0.0114, 0.2820)
Sm (0.2167, 0.2167, 0.8260)
Sm (0.3599, 0.3599, 0.4871)
Sm (0.4075, 0.4075, 0.0121)
Sm (0.5925, 0.5925, 0.9879)
Sm (0.6401, 0.6401, 0.5129)
Sm (0.7833, 0.7833, 0.1740)
Sm (0.9886, 0.9886, 0.7180)
Co (0.5000, 0.5000, 0.5000)
Sn (0.1820, 0.1820, 0.2657)
Sn (0.8180, 0.8180, 0.7343)

## Properties
The calculation puts the energy relative to the elements at -0.30 eV per atom. As for the symmetry: No. 12.

---

(6)
Ce3ErO | GGA-PBE | optimized geometry

Unit cell a=4.9325 b=4.9325 c=4.9325 alpha=90.00 beta=90.00 gamma=90.00
Element x y z (fractional)
Ce (0.0000, 0.0000, 0.5000)
Ce (0.0000, 0.5000, 0.0000)
Ce (0.5000, 0.0000, 0.0000)
Er (0.5000, 0.5000, 0.5000)
O (0.0000, 0.0000, 0.0000)

## Properties
As for the raw formation energy: -1.08 eV per atom. As for the symmetry: No. 221.

---

(7)
Pm4Ho9Cd11 | GGA-PBE | optimized geometry

Unit cell a=13.9289 b=13.9289 c=3.5207 alpha=90.00 beta=90.00 gamma=109.37
Element x y z (fractional)
Pm (0.0837, 0.2497, 0.0000)
Pm (0.2497, 0.0837, 0.0000)
Pm (0.7503, 0.9163, 0.0000)
Pm (0.9163, 0.7503, 0.0000)
Ho (0.0000, 0.0000, 0.0000)
Ho (0.1159, 0.6550, 0.0000)
Ho (0.2937, 0.4854, 0.0000)
Ho (0.3450, 0.8841, 0.0000)
Ho (0.4854, 0.2937, 0.0000)
Ho (0.5146, 0.7063, 0.0000)
Ho (0.6550, 0.1159, 0.0000)
Ho (0.7063, 0.5146, 0.0000)
Ho (0.8841, 0.3450, 0.0000)
Cd (0.0892, 0.4534, 0.5000)
Cd (0.1311, 0.8689, 0.5000)
Cd (0.2958, 0.2958, 0.5000)
Cd (0.3164, 0.6836, 0.5000)
Cd (0.4534, 0.0892, 0.5000)
Cd (0.5000, 0.5000, 0.5000)
Cd (0.5466, 0.9108, 0.5000)
Cd (0.6836, 0.3164, 0.5000)
Cd (0.7042, 0.7042, 0.5000)
Cd (0.8689, 0.1311, 0.5000)
Cd (0.9108, 0.5466, 0.5000)

## Properties
The calculation puts the energy relative to the elements at -0.23 eV per atom. As for the symmetry: No. 65.

---

(8)
Ta4CdIr | GGA-PBE | optimized geometry

Unit cell a=5.4008 b=5.4008 c=5.4008 alpha=60.00 beta=60.00 gamma=60.00
Element x y z (fractional)
Ta (0.1244, 0.1244, 0.1244)
Ta (0.1244, 0.1244, 0.6267)
Ta (0.1244, 0.6267, 0.1244)
Ta (0.6267, 0.1244, 0.1244)
Cd (0.7500, 0.7500, 0.7500)
Ir (0.5000, 0.5000, 0.5000)

## Properties
The calculation puts the energy relative to the elements at 0.35 eV per atom. As for the symmetry: No. 216.

---

(9)
Pu2HfMgP4 | GGA-PBE | optimized geometry

Unit cell a=6.5498 b=3.9000 c=6.8175 alpha=90.00 beta=110.34 gamma=90.00
Element x y z (fractional)
Pu (0.0000, 0.0000, 0.0000)
Pu (0.0000, 0.5000, 0.5000)
Hf (0.5000, 0.0000, 0.5000)
Mg (0.5000, 0.5000, 0.0000)
P (0.2604, 0.0000, 0.7464)
P (0.2614, 0.5000, 0.2608)
P (0.7386, 0.5000, 0.7392)
P (0.7396, 0.0000, 0.2536)

## Properties
The calculation puts the energy relative to the elements at -1.03 eV per atom. As for the symmetry: No. 10.

---

(10)
Y2RhS | GGA-PBE | optimized geometry

Unit cell a=3.6169 b=3.6169 c=25.4719 alpha=90.00 beta=90.00 gamma=120.00
Element x y z (fractional)
Y (0.0000, 0.0000, 0.0987)
Y (0.0000, 0.0000, 0.9013)
Y (0.3333, 0.6667, 0.5679)
Y (0.3333, 0.6667, 0.7654)
Y (0.6667, 0.3333, 0.2346)
Y (0.6667, 0.3333, 0.4321)
Rh (0.0000, 0.0000, 0.0000)
Rh (0.3333, 0.6667, 0.6667)
Rh (0.6667, 0.3333, 0.3333)
S (0.0000, 0.0000, 0.5000)
S (0.3333, 0.6667, 0.1667)
S (0.6667, 0.3333, 0.8333)

## Properties
As for the raw formation energy: -0.66 eV per atom. As for the symmetry: No. 166.

---

(11)
LaH6PtRh | GGA-PBE | optimized geometry

Unit cell a=4.8855 b=4.8855 c=4.2492 alpha=90.00 beta=90.00 gamma=120.00
Element x y z (fractional)
La (0.0000, 0.0000, 0.0000)
H (0.5034, 0.0069, 0.2419)
H (0.5034, 0.0069, 0.7581)
H (0.5034, 0.4966, 0.2419)
H (0.5034, 0.4966, 0.7581)
H (0.9931, 0.4966, 0.2419)
H (0.9931, 0.4966, 0.7581)
Pt (0.3333, 0.6667, 0.5000)
Rh (0.6667, 0.3333, 0.5000)

## Properties
As for the electronic total energy: -41.82 eV for the cell shown. As for the symmetry: No. 187.

---

(12)
SbSeN2F | GGA-PBE | optimized geometry

Unit cell a=3.9852 b=3.9852 c=5.7021 alpha=90.00 beta=90.00 gamma=90.00
Element x y z (fractional)
Sb (0.0000, 0.0000, 0.0000)
Se (0.0000, 0.0000, 0.5000)
N (0.0000, 0.5000, 0.0000)
N (0.5000, 0.0000, 0.0000)
F (0.5000, 0.5000, 0.5000)

## Properties
As for the raw formation energy: 1.23 eV per atom. For the energy above the most stable polymorph in this dataset, the calculation gives 0.463 eV/atom. As for the symmetry: No. 123.

---

(13)
Cs2SmTlBr6 | GGA-PBE | optimized geometry

Unit cell a=8.2982 b=8.7151 c=14.5140 alpha=90.00 beta=124.53 gamma=90.00
Element x y z (fractional)
Cs (0.2282, 0.0667, 0.2500)
Cs (0.2282, 0.4333, 0.7500)
Cs (0.7718, 0.5667, 0.2500)
Cs (0.7718, 0.9333, 0.7500)
Sm (0.5000, 0.0000, 0.0000)
Sm (0.5000, 0.5000, 0.5000)
Tl (0.0000, 0.0000, 0.5000)
Tl (0.0000, 0.5000, 0.0000)
Br (0.1758, 0.1833, 0.9572)
Br (0.1758, 0.3167, 0.4572)
Br (0.2737, 0.7243, 0.9531)
Br (0.2737, 0.7757, 0.4531)
Br (0.3569, 0.0235, 0.7683)
Br (0.3569, 0.4765, 0.2683)
Br (0.6431, 0.5235, 0.7317)
Br (0.6431, 0.9765, 0.2317)
Br (0.7263, 0.2243, 0.5469)
Br (0.7263, 0.2757, 0.0469)
Br (0.8242, 0.6833, 0.5428)
Br (0.8242, 0.8167, 0.0428)

## Properties
As for the raw formation energy: -1.69 eV per atom. As for the symmetry: No. 14.

---

(14)
Hg2MoW | GGA-PBE | optimized geometry

Unit cell a=3.9975 b=3.9975 c=9.0477 alpha=90.00 beta=90.00 gamma=90.00
Element x y z (fractional)
Hg (0.0000, 0.5000, 0.2500)
Hg (0.0000, 0.5000, 0.7500)
Hg (0.5000, 0.0000, 0.2500)
Hg (0.5000, 0.0000, 0.7500)
Mo (0.0000, 0.0000, 0.0000)
Mo (0.5000, 0.5000, 0.5000)
W (0.0000, 0.0000, 0.5000)
W (0.5000, 0.5000, 0.0000)

## Properties
The calculation puts the energy relative to the elements at 0.79 eV per atom. For the energy above the most stable polymorph in this dataset, the calculation gives 0.350 eV/atom. As for the symmetry: No. 139.

---

(15)
LaPuRh | GGA-PBE | optimized geometry

Unit cell a=3.6334 b=3.6334 c=11.1001 alpha=90.00 beta=90.00 gamma=90.00
Element x y z (fractional)
La (0.0000, 0.0000, 0.0000)
La (0.5000, 0.5000, 0.5000)
Pu (0.0000, 0.0000, 0.2909)
Pu (0.5000, 0.5000, 0.7909)
Rh (0.0000, 0.0000, 0.6687)
Rh (0.5000, 0.5000, 0.1687)

## Properties
The calculation puts the energy relative to the elements at -0.30 eV per atom. For the energy above the most stable polymorph in this dataset, the calculation gives 0.128 eV/atom. As for the symmetry: No. 107.

---

(16)
RbFe3Ru | GGA-PBE | optimized geometry

Unit cell a=4.8348 b=4.8348 c=4.8348 alpha=90.00 beta=90.00 gamma=90.00
Element x y z (fractional)
Rb (0.0000, 0.0000, 0.0000)
Fe (0.0000, 0.5000, 0.5000)
Fe (0.5000, 0.0000, 0.5000)
Fe (0.5000, 0.5000, 0.0000)
Ru (0.5000, 0.5000, 0.5000)

## Properties
The calculation puts the energy relative to the elements at 1.26 eV per atom. For the energy above the most stable polymorph in this dataset, the calculation gives 0.000 eV/atom. As for the symmetry: No. 221.

---

(17)
Co2PtPb | GGA-PBE | optimized geometry

Unit cell a=4.0439 b=4.0439 c=3.6974 alpha=90.00 beta=90.00 gamma=90.00
Element x y z (fractional)
Co (0.0000, 0.5000, 0.0000)
Co (0.5000, 0.0000, 0.0000)
Pt (0.0000, 0.0000, 0.5000)
Pb (0.5000, 0.5000, 0.5000)

## Properties
The calculation puts the energy relative to the elements at 0.27 eV per atom. As for the symmetry: No. 123.

---

(18)
GaCoBr2 | GGA-PBE | optimized geometry

Unit cell a=7.0715 b=7.0715 c=7.0715 alpha=90.00 beta=90.00 gamma=90.00
Element x y z (fractional)
Ga (0.0000, 0.0000, 0.0000)
Ga (0.0000, 0.5000, 0.5000)
Ga (0.5000, 0.0000, 0.5000)
Ga (0.5000, 0.5000, 0.0000)
Co (0.0000, 0.0000, 0.5000)
Co (0.0000, 0.5000, 0.0000)
Co (0.5000, 0.0000, 0.0000)
Co (0.5000, 0.5000, 0.5000)
Br (0.2500, 0.2500, 0.2500)
Br (0.2500, 0.2500, 0.7500)
Br (0.2500, 0.7500, 0.2500)
Br (0.2500, 0.7500, 0.7500)
Br (0.7500, 0.2500, 0.2500)
Br (0.7500, 0.2500, 0.7500)
Br (0.7500, 0.7500, 0.2500)
Br (0.7500, 0.7500, 0.7500)

## Properties
As for the raw formation energy: 0.29 eV per atom. For the energy above the most stable polymorph in this dataset, the calculation gives 0.392 eV/atom. As for the symmetry: No. 225.

---

(19)
Pm6As2IrS3 | GGA-PBE | optimized geometry

Unit cell a=9.2537 b=9.2537 c=8.3322 alpha=102.87 beta=102.87 gamma=25.71
Element x y z (fractional)
Pm (0.0013, 0.0013, 0.2578)
Pm (0.3334, 0.3334, 0.9155)
Pm (0.3373, 0.3373, 0.4196)
Pm (0.6627, 0.6627, 0.5804)
Pm (0.6666, 0.6666, 0.0845)
Pm (0.9987, 0.9987, 0.7422)
As (0.1665, 0.1665, 0.8348)
As (0.8335, 0.8335, 0.1652)
Ir (0.5000, 0.5000, 0.5000)
S (0.1700, 0.1700, 0.3329)
S (0.5000, 0.5000, 0.0000)
S (0.8300, 0.8300, 0.6671)

## Properties
As for the raw formation energy: -1.61 eV per atom. As for the symmetry: No. 12.

---

(20)
GeCSeN2 | GGA-PBE | optimized geometry

Unit cell a=3.6646 b=3.6646 c=4.1914 alpha=90.00 beta=90.00 gamma=90.00
Element x y z (fractional)
Ge (0.0000, 0.0000, 0.0000)
C (0.5000, 0.5000, 0.5000)
Se (0.5000, 0.5000, 0.0000)
N (0.0000, 0.5000, 0.5000)
N (0.5000, 0.0000, 0.5000)

## Properties
As for the raw formation energy: 2.17 eV per atom. For the energy above the most stable polymorph in this dataset, the calculation gives 0.015 eV/atom. As for the symmetry: No. 123.

---

Number 1: volume 97.0 Å³/f.u., ρ 6.3 g/cm³. Number 2: volume 149.7 Å³/f.u., ρ 8.7 g/cm³. Number 3: volume 105.2 Å³/f.u., ρ 11.5 g/cm³. Number 4: volume 118.7 Å³/f.u., ρ 8.8 g/cm³. Number 5: volume 323.7 Å³/f.u., ρ 7.7 g/cm³. Number 6: volume 120.0 Å³/f.u., ρ 8.4 g/cm³. Number 7: volume 644.4 Å³/f.u., ρ 8.5 g/cm³. Number 8: volume 111.4 Å³/f.u., ρ 15.3 g/cm³. Number 9: volume 163.3 Å³/f.u., ρ 8.3 g/cm³. Number 10: volume 96.2 Å³/f.u., ρ 5.4 g/cm³. Number 11: volume 87.8 Å³/f.u., ρ 8.4 g/cm³. Number 12: volume 90.6 Å³/f.u., ρ 4.5 g/cm³. Number 13: volume 432.4 Å³/f.u., ρ 4.2 g/cm³. Number 14: volume 72.3 Å³/f.u., ρ 15.6 g/cm³. Number 15: volume 73.3 Å³/f.u., ρ 11.0 g/cm³. Number 16: volume 113.0 Å³/f.u., ρ 5.2 g/cm³. Number 17: volume 60.5 Å³/f.u., ρ 14.3 g/cm³. Number 18: volume 88.4 Å³/f.u., ρ 5.4 g/cm³. Number 19: volume 301.4 Å³/f.u., ρ 7.2 g/cm³. Number 20: volume 56.3 Å³/f.u., ρ 5.7 g/cm³.